1.
The following is a DFT calculation (PBE) of crystalline Li2PaIO6 at its relaxed geometry.

Cell: 5.9224 5.9224 5.9224 Å, 54.91 54.91 54.91°
Atoms (fractional coordinates):
Li (0.0000, 0.0000, 0.0000)
Li (0.4528, 0.4528, 0.4528)
Pa (0.2517, 0.2517, 0.2517)
I (0.7570, 0.7570, 0.7570)
O (0.0359, 0.3463, 0.6381)
O (0.1248, 0.8427, 0.5288)
O (0.3463, 0.6381, 0.0359)
O (0.5288, 0.1248, 0.8427)
O (0.6381, 0.0359, 0.3463)
O (0.8427, 0.5288, 0.1248)

## Properties
Energy relative to the elements, uncorrected (eV per atom): -1.964
Space group: R3 (146)
DOS(E_F) (states/eV/cell): 0.0


2.
The following is a DFT calculation (PBE) of crystalline LiPaIO6 at its relaxed geometry.

Cell: 5.6694 5.6694 9.4185 Å, 90.00 90.00 120.00°
Atoms (fractional coordinates):
Li (0.0000, 0.0000, 0.0000)
Li (0.0000, 0.0000, 0.5000)
Pa (0.3333, 0.6667, 0.2500)
Pa (0.6667, 0.3333, 0.7500)
I (0.3333, 0.6667, 0.7500)
I (0.6667, 0.3333, 0.2500)
O (0.0262, 0.3738, 0.6361)
O (0.0262, 0.6524, 0.8639)
O (0.3476, 0.3738, 0.8639)
O (0.3476, 0.9738, 0.6361)
O (0.3738, 0.0262, 0.1361)
O (0.3738, 0.3476, 0.3639)
O (0.6262, 0.6524, 0.6361)
O (0.6262, 0.9738, 0.8639)
O (0.6524, 0.0262, 0.3639)
O (0.6524, 0.6262, 0.1361)
O (0.9738, 0.3476, 0.1361)
O (0.9738, 0.6262, 0.3639)

## Properties
Energy relative to the elements, uncorrected (eV per atom): -1.669
Space group: P-31c (163)
DOS(E_F) (states/eV/cell): 6.8


3.
The following is a DFT calculation (PBE) of crystalline Li2PaIO8 at its relaxed geometry.

Cell: 4.7186 4.7186 6.7961 Å, 90.00 90.00 91.67°
Atoms (fractional coordinates):
Li (0.0000, 0.0000, 0.2256)
Li (0.0000, 0.0000, 0.7744)
Pa (0.5000, 0.5000, 0.5000)
I (0.5000, 0.5000, 0.0000)
O (0.2050, 0.2050, 0.5000)
O (0.2185, 0.2185, 0.0000)
O (0.3102, 0.6898, 0.2081)
O (0.3102, 0.6898, 0.7919)
O (0.6898, 0.3102, 0.2081)
O (0.6898, 0.3102, 0.7919)
O (0.7815, 0.7815, 0.0000)
O (0.7950, 0.7950, 0.5000)

## Properties
Energy relative to the elements, uncorrected (eV per atom): -1.470
Space group: Cmmm (65)
DOS(E_F) (states/eV/cell): 4.0


4.
The following is a DFT calculation (PBE) of crystalline Li2PbIO6 at its relaxed geometry.

Cell: 5.8071 5.8071 5.8071 Å, 54.98 54.98 54.98°
Atoms (fractional coordinates):
Li (0.0000, 0.0000, 0.0000)
Li (0.4737, 0.4737, 0.4737)
Pb (0.2082, 0.2082, 0.2082)
I (0.6945, 0.6945, 0.6945)
O (0.0586, 0.4536, 0.7760)
O (0.3198, 0.8883, 0.6339)
O (0.4536, 0.7760, 0.0586)
O (0.6339, 0.3198, 0.8883)
O (0.7760, 0.0586, 0.4536)
O (0.8883, 0.6339, 0.3198)

## Properties
Energy relative to the elements, uncorrected (eV per atom): -1.009
Space group: R3 (146)
DOS(E_F) (states/eV/cell): 3.6


5.
The following is a DFT calculation (PBE) of crystalline Li2Pb3I2O4 at its relaxed geometry.

Cell: 14.0074 14.0074 14.0074 Å, 163.59 163.59 23.29°
Atoms (fractional coordinates):
Li (0.0571, 0.0571, 0.0000)
Li (0.9429, 0.9429, 0.0000)
Pb (0.3844, 0.3844, 0.0000)
Pb (0.5000, 0.5000, 0.0000)
Pb (0.6156, 0.6156, 0.0000)
I (0.1815, 0.1815, 0.0000)
I (0.8185, 0.8185, 0.0000)
O (0.0522, 0.5522, 0.5000)
O (0.4478, 0.9478, 0.5000)
O (0.5522, 0.0522, 0.5000)
O (0.9478, 0.4478, 0.5000)

## Properties
Energy relative to the elements, uncorrected (eV per atom): -0.991
Space group: I4/mmm (139)
DOS(E_F) (states/eV/cell): 2.1


6.
The following is a DFT calculation (PBE) of crystalline LiPdIO6 at its relaxed geometry.

Cell: 5.1650 5.1650 9.5719 Å, 90.00 90.00 120.00°
Atoms (fractional coordinates):
Li (0.0000, 0.0000, 0.0000)
Li (0.0000, 0.0000, 0.5000)
Pd (0.3333, 0.6667, 0.2500)
Pd (0.6667, 0.3333, 0.7500)
I (0.3333, 0.6667, 0.7500)
I (0.6667, 0.3333, 0.2500)
O (0.0152, 0.3686, 0.6375)
O (0.0152, 0.6467, 0.8625)
O (0.3533, 0.3686, 0.8625)
O (0.3533, 0.9848, 0.6375)
O (0.3686, 0.0152, 0.1375)
O (0.3686, 0.3533, 0.3625)
O (0.6314, 0.6467, 0.6375)
O (0.6314, 0.9848, 0.8625)
O (0.6467, 0.0152, 0.3625)
O (0.6467, 0.6314, 0.1375)
O (0.9848, 0.3533, 0.1375)
O (0.9848, 0.6314, 0.3625)

## Properties
Energy relative to the elements, uncorrected (eV per atom): -0.606
Space group: P-31c (163)
DOS(E_F) (states/eV/cell): 0.0


Number 1: calculated volume 129.51 Å³ per cell. Number 2: calculated volume 262.17 Å³ per cell. Number 3: calculated volume 151.25 Å³ per cell. Number 4: calculated volume 122.29 Å³ per cell. Number 5: calculated volume 219.38 Å³ per cell. Number 6: calculated volume 221.14 Å³ per cell.